Below is a geometry-optimized Mg3TlO structure, with properties calculated at the GGA-PBE level.

a b c (Å): 4.4060 4.4060 4.4060
angles (deg): 90.00 90.00 90.00
Closest atoms and distances in Å follow each position.
Fractional positions:
1 Mg 0.0000 0.0000 0.5000  2 O 2.20
2 Mg 0.0000 0.5000 0.0000  2 O 2.20
3 Mg 0.5000 0.0000 0.0000  2 O 2.20
4 Tl 0.5000 0.5000 0.5000  12 Mg 3.12
5 O 0.0000 0.0000 0.0000  6 Mg 2.20

Output
Polymorph energy (0 for the lowest one)   0.00 eV per formula unit
Electronic total energy   -3.33 eV per atom
ΔE_f (raw)   -0.909 eV per atom